No. 1
Below is a relaxed structure of NbCr2W6, with properties calculated at the PBE-GGA level.

Computed properties:
Crystal system: triclinic
Space-group type: P-1

Lattice parameters (Å, degrees): 5.0484 6.3327 4.9955 101.40 90.07 66.27
Closest atoms and distances in Å follow each position.
Fractional coordinates of all 9 atoms:
W 0.6138 0.7756 0.9397  1 Cr 2.31, 1 W 2.54
W 0.2555 0.0009 0.5005  2 W 2.46-2.58
W 0.7571 0.4877 0.3730  2 Cr 2.56-2.61, 2 W 2.81-2.82
W 0.2429 0.5123 0.6270  2 Cr 2.56-2.61, 2 W 2.81-2.82
W 0.3862 0.2244 0.0603  1 Cr 2.31, 1 W 2.54
W 0.7445 0.9991 0.4995  2 W 2.46-2.58
Cr 0.8109 0.3682 0.8484  2 W 2.31-2.56, 1 Nb 2.41
Cr 0.1891 0.6318 0.1516  2 W 2.31-2.56, 1 Nb 2.41
Nb 0.0000 0.0000 0.0000  2 Cr 2.41

---

No. 2
Below is a relaxed structure of Nb12CrW6, with properties calculated at the PBE-GGA level.

Computed properties:
Crystal system: trigonal
Space-group type: R-3

Lattice parameters (Å, degrees): 6.9962 6.9962 6.9962 88.43 88.43 88.43
Closest atoms and distances in Å follow each position.
Fractional coordinates of all 19 atoms:
Nb 0.8584 0.6205 0.9398  4 Nb 2.70-2.97, 1 Cr 2.90, 4 W 2.91-2.98
Nb 0.9398 0.8584 0.6205  4 Nb 2.70-2.97, 1 Cr 2.90, 4 W 2.91-2.98
Nb 0.3795 0.0602 0.1416  4 Nb 2.70-2.97, 1 Cr 2.90, 4 W 2.91-2.98
Nb 0.4814 0.5836 0.1850  4 W 2.82-2.96, 5 Nb 2.87-3.12
Nb 0.1416 0.3795 0.0602  4 Nb 2.70-2.97, 1 Cr 2.90, 4 W 2.91-2.98
Nb 0.4164 0.8150 0.5186  4 W 2.82-2.96, 5 Nb 2.87-3.12
Nb 0.6205 0.9398 0.8584  4 Nb 2.70-2.97, 1 Cr 2.90, 4 W 2.91-2.98
Nb 0.0602 0.1416 0.3795  4 Nb 2.70-2.97, 1 Cr 2.90, 4 W 2.91-2.98
Nb 0.8150 0.5186 0.4164  4 W 2.82-2.96, 5 Nb 2.87-3.12
Nb 0.1850 0.4814 0.5836  4 W 2.82-2.96, 5 Nb 2.87-3.12
Nb 0.5186 0.4164 0.8150  4 W 2.82-2.96, 5 Nb 2.87-3.12
Nb 0.5836 0.1850 0.4814  4 W 2.82-2.96, 5 Nb 2.87-3.12
Cr 0.0000 0.0000 0.0000  6 W 2.60, 6 Nb 2.90
W 0.7481 0.2560 0.1146  1 Cr 2.60, 2 W 2.74, 4 Nb 2.82-2.91
W 0.2519 0.7440 0.8854  1 Cr 2.60, 2 W 2.74, 4 Nb 2.82-2.91
W 0.7440 0.8854 0.2519  1 Cr 2.60, 2 W 2.74, 4 Nb 2.82-2.91
W 0.1146 0.7481 0.2560  1 Cr 2.60, 2 W 2.74, 4 Nb 2.82-2.91
W 0.8854 0.2519 0.7440  1 Cr 2.60, 2 W 2.74, 4 Nb 2.82-2.91
W 0.2560 0.1146 0.7481  1 Cr 2.60, 2 W 2.74, 4 Nb 2.82-2.91

---

No. 3
Below is a relaxed structure of NbCr3W, with properties calculated at the PBE-GGA level.

Computed properties:
Crystal system: cubic
Space-group type: Pm-3m
Energy above the most stable polymorph in this dataset (meV per atom): 0

Lattice parameters (Å, degrees): 4.5431 4.5431 4.5431 90.00 90.00 90.00
Closest atoms and distances in Å follow each position.
Fractional coordinates of all 5 atoms:
W 0.0000 0.0000 0.0000  6 Cr 2.27
Cr 0.5000 0.0000 0.0000  2 W 2.27
Cr 0.0000 0.0000 0.5000  2 W 2.27
Cr 0.0000 0.5000 0.0000  2 W 2.27
Nb 0.5000 0.5000 0.5000  12 Cr 3.21

---

No. 4
Below is a relaxed structure of Nb3Cr8W, with properties calculated at the PBE-GGA level.

Computed properties:
Crystal system: trigonal
Space-group type: P3m1

Lattice parameters (Å, degrees): 4.8807 4.8807 8.0336 90.00 90.00 120.00
Closest atoms and distances in Å follow each position.
Fractional coordinates of all 12 atoms:
Cr 0.9940 0.4970 0.7484  6 Cr 2.40-2.48
Cr 0.3333 0.6667 0.9995  6 Cr 2.48
Cr 0.5030 0.4970 0.7484  6 Cr 2.40-2.48
Cr 0.3333 0.6667 0.5011  6 Cr 2.45-2.47
Cr 0.1633 0.3266 0.2518  6 Cr 2.39-2.49
Cr 0.1633 0.8367 0.2518  6 Cr 2.39-2.49
Cr 0.6734 0.8367 0.2518  6 Cr 2.39-2.49
Cr 0.5030 0.0060 0.7484  6 Cr 2.40-2.48
W 0.0000 0.0000 0.5568  12 Cr 2.81-2.89, 4 Nb 2.96-3.06
Nb 0.0000 0.0000 0.9382  12 Cr 2.86-2.88, 3 Nb 2.98, 1 W 3.06
Nb 0.6667 0.3333 0.4440  12 Cr 2.81-2.89, 3 W 2.96, 1 Nb 3.09
Nb 0.6667 0.3333 0.0598  12 Cr 2.86-2.89, 4 Nb 2.98-3.09

---

No. 5
Below is a relaxed structure of Nb2CrW6, with properties calculated at the PBE-GGA level.

Computed properties:
Crystal system: triclinic
Space-group type: P-1

Lattice parameters (Å, degrees): 4.5484 5.4563 9.3438 133.92 104.05 90.07
Closest atoms and distances in Å follow each position.
Fractional coordinates of all 9 atoms:
Cr 0.9999 0.9998 0.9997  4 W 2.65, 2 Nb 2.70
Nb 0.1017 0.6777 0.2038  1 Nb 2.68, 5 W 2.69-2.82, 1 Cr 2.70
Nb 0.8983 0.3224 0.7962  1 Nb 2.68, 5 W 2.69-2.82, 1 Cr 2.70
W 0.6955 0.5307 0.3920  5 W 2.64-2.83
W 0.5026 0.7564 0.0050  2 Cr 2.65, 4 W 2.71-2.73, 2 Nb 2.82
W 0.2947 0.9295 0.5894  5 W 2.63-2.83, 3 Nb 2.69-2.74
W 0.4974 0.2438 0.9951  2 Cr 2.65, 4 W 2.71-2.73, 2 Nb 2.82
W 0.7053 0.0706 0.4107  5 W 2.64-2.83, 3 Nb 2.69-2.75
W 0.3045 0.4693 0.6081  5 W 2.63-2.83

---

No. 6
Below is a relaxed structure of NbCrW4, with properties calculated at the PBE-GGA level.

Computed properties:
Crystal system: tetragonal
Space-group type: P4/mmm

Lattice parameters (Å, degrees): 3.1539 3.1539 9.5198 90.00 90.00 90.00
Closest atoms and distances in Å follow each position.
Fractional coordinates of all 6 atoms:
Nb 0.0000 0.0000 0.0000  8 W 2.79
Cr 0.5000 0.5000 0.5000  8 W 2.69
W 0.5000 0.5000 0.8237  4 W 2.74, 4 Nb 2.79
W 0.0000 0.0000 0.6573  4 Cr 2.69, 5 W 2.74-2.99
W 0.5000 0.5000 0.1763  4 W 2.74, 4 Nb 2.79
W 0.0000 0.0000 0.3427  4 Cr 2.69, 5 W 2.74-2.99

---

No. 7
Below is a relaxed structure of ZrNbCrW2, with properties calculated at the PBE-GGA level.

Computed properties:
Crystal system: tetragonal
Space-group type: P4/mmm

Lattice parameters (Å, degrees): 4.8320 4.3622 4.8320 90.00 90.00 90.00
Closest atoms and distances in Å follow each position.
Fractional coordinates of all 5 atoms:
Zr 0.0000 0.0000 0.0000  2 Cr 2.18, 4 W 2.42
W 0.5000 0.0000 0.0000  2 Zr 2.42
W 0.0000 0.0000 0.5000  2 Zr 2.42
Cr 0.0000 0.5000 0.0000  2 Zr 2.18
Nb 0.5000 0.5000 0.5000  8 W 3.25, 4 Cr 3.42

---

No. 8
Below is a relaxed structure of YNb3Cr, with properties calculated at the PBE-GGA level.

Computed properties:
Crystal system: cubic
Space-group type: Pm-3m
Energy above the most stable polymorph in this dataset (meV per atom): 1951

Lattice parameters (Å, degrees): 4.8765 4.8765 4.8765 90.00 90.00 90.00
Closest atoms and distances in Å follow each position.
Fractional coordinates of all 5 atoms:
Nb 0.0000 0.5000 0.0000  2 Y 2.44
Nb 0.0000 0.0000 0.5000  2 Y 2.44
Nb 0.5000 0.0000 0.0000  2 Y 2.44
Cr 0.5000 0.5000 0.5000  12 Nb 3.45
Y 0.0000 0.0000 0.0000  6 Nb 2.44

---

no.,energy (eV/atom),Fermi-level density of states (states/eV/atom),calculated formation energy (eV per formula unit)
1,-11.5581,0.740,3.0
2,-10.7903,0.883,3.2
3,-8.8030,0.847,7.9
4,-10.0245,1.086,-0.1
5,-11.4179,0.972,4.7
6,-11.9071,0.484,0.1
7,-8.6676,1.168,10.8
8,-6.7218,2.179,12.7